Entry 1:
## VBiS3 (GGA-PBE)

Data for a relaxed structure of VBiS3.

Its energy above the most stable polymorph in this dataset is 1.331 eV per atom. The calculation puts the total energy at -21.5 eV for the cell shown. For the uncorrected formation energy, the calculation gives 784.9 meV per atom. The calculation puts the volume at 137.5 Å³/cell. The symmetry is Pm-3m.

a b c (Å): 5.161 5.161 5.161
angles (deg): 90.00 90.00 90.00
Fractional positions:
V (0.000, 0.000, 0.000)
Bi (0.500, 0.500, 0.500)
S (0.000, 0.500, 0.500)
S (0.500, 0.000, 0.500)
S (0.500, 0.500, 0.000)

Entry 2:
## VBiS (GGA-PBE)

Data for a relaxed structure of VBiS.

Its energy above the most stable polymorph in this dataset is 0.031 eV per atom. The calculation puts the total energy at -36.5 eV for the cell shown. For the uncorrected formation energy, the calculation gives -367.7 meV per atom. The calculation puts the volume at 127.8 Å³/cell. The symmetry is P2_1/m.

a b c (Å): 3.272 5.480 7.127
angles (deg): 90.00 90.06 90.00
Fractional positions:
V (0.000, 0.000, 0.000)
V (0.000, 0.500, 0.000)
Bi (0.002, 0.250, 0.376)
Bi (0.998, 0.750, 0.624)
S (0.500, 0.250, 0.849)
S (0.500, 0.750, 0.151)

Entry 3:
## VBiS (GGA-PBE)

Data for a relaxed structure of VBiS.

Its energy above the most stable polymorph in this dataset is 0.002 eV per atom. The calculation puts the total energy at -18.3 eV for the cell shown. For the uncorrected formation energy, the calculation gives -396.2 meV per atom. The calculation puts the volume at 68.4 Å³/cell. The symmetry is P3m1.

a b c (Å): 3.368 3.368 6.962
angles (deg): 90.00 90.00 120.00
Fractional positions:
V (0.000, 0.000, 0.000)
Bi (0.333, 0.667, 0.674)
S (0.667, 0.333, 0.181)

Entry 4:
## VBi2S5 (GGA-PBE)

Data for a relaxed structure of VBi2S5.

The calculation puts the total energy at -40.5 eV for the cell shown. For the uncorrected formation energy, the calculation gives -378.3 meV per atom. The calculation puts the volume at 237.2 Å³/cell. The symmetry is I4mm.

a b c (Å): 7.135 7.135 7.135
angles (deg): 124.47 124.47 82.43
Fractional positions:
V (0.000, 0.000, 0.000)
Bi (0.309, 0.809, 0.500)
Bi (0.809, 0.309, 0.500)
S (0.172, 0.172, 0.474)
S (0.172, 0.698, 0.000)
S (0.198, 0.198, 0.000)
S (0.698, 0.172, 0.000)
S (0.698, 0.698, 0.526)

Repeat the second record exactly.
## VBiS (GGA-PBE)

Data for a relaxed structure of VBiS.

Its energy above the most stable polymorph in this dataset is 0.031 eV per atom. The calculation puts the total energy at -36.5 eV for the cell shown. For the uncorrected formation energy, the calculation gives -367.7 meV per atom. The calculation puts the volume at 127.8 Å³/cell. The symmetry is P2_1/m.

a b c (Å): 3.272 5.480 7.127
angles (deg): 90.00 90.06 90.00
Fractional positions:
V (0.000, 0.000, 0.000)
V (0.000, 0.500, 0.000)
Bi (0.002, 0.250, 0.376)
Bi (0.998, 0.750, 0.624)
S (0.500, 0.250, 0.849)
S (0.500, 0.750, 0.151)

What did the third record say?
## VBiS (GGA-PBE)

Data for a relaxed structure of VBiS.

Its energy above the most stable polymorph in this dataset is 0.002 eV per atom. The calculation puts the total energy at -18.3 eV for the cell shown. For the uncorrected formation energy, the calculation gives -396.2 meV per atom. The calculation puts the volume at 68.4 Å³/cell. The symmetry is P3m1.

a b c (Å): 3.368 3.368 6.962
angles (deg): 90.00 90.00 120.00
Fractional positions:
V (0.000, 0.000, 0.000)
Bi (0.333, 0.667, 0.674)
S (0.667, 0.333, 0.181)